Entry 1:
TbSm3Tl3, optimized geometry, DFT PBE; offset from the most stable computed form = 0.0514 eV per atom
1.0
9.576 0.000 0.000
-4.788 8.293 0.000
0.000 0.000 5.291
Tb Sm Tl
2 6 6
direct
0.333 0.667 0.250
0.667 0.333 0.750
0.001 0.238 0.250
0.237 0.999 0.250
0.238 0.237 0.750
0.762 0.763 0.250
0.763 0.001 0.750
0.999 0.762 0.750
0.071 0.451 0.750
0.381 0.929 0.750
0.451 0.381 0.250
0.549 0.619 0.750
0.619 0.071 0.250
0.929 0.549 0.250

Entry 2:
Computed, not measured: Tb6Sm8Tl after structural relaxation at the PBE level of DFT.

Cell and atoms, written as POSCAR:
```
Tb6Sm8Tl
1.0
9.393 0.000 0.000
-4.696 8.135 0.000
0.000 0.000 6.481
Tb Sm Tl
6 8 1
direct
0.096 0.645 0.172
0.355 0.451 0.172
0.451 0.096 0.828
0.549 0.904 0.172
0.645 0.549 0.828
0.904 0.355 0.828
0.041 0.771 0.682
0.229 0.270 0.682
0.270 0.041 0.318
0.333 0.667 0.656
0.667 0.333 0.344
0.730 0.959 0.682
0.771 0.730 0.318
0.959 0.229 0.318
0.000 0.000 0.000
```

Entry 3:
Computed, not measured: Tb12Sm6Tl after structural relaxation at the PBE level of DFT.

Cell and atoms, written as POSCAR:
```
Tb12Sm6Tl
1.0
5.965 3.444 5.016
-5.965 3.444 5.016
0.000 -6.888 5.016
Tb Sm Tl
12 6 1
direct
0.039 0.279 0.934
0.066 0.961 0.721
0.140 0.313 0.487
0.279 0.934 0.039
0.313 0.487 0.140
0.487 0.140 0.313
0.513 0.860 0.687
0.687 0.513 0.860
0.721 0.066 0.961
0.860 0.687 0.513
0.934 0.039 0.279
0.961 0.721 0.066
0.199 0.594 0.759
0.241 0.801 0.406
0.406 0.241 0.801
0.594 0.759 0.199
0.759 0.199 0.594
0.801 0.406 0.241
0.500 0.500 0.500
```

Entry 4:
Tb2SmTl, optimized geometry, DFT PBE; offset from the most stable computed form = 0.0000 eV per atom
1.0
4.907 0.000 0.000
0.000 4.907 0.000
0.000 0.000 4.868
Tb Sm Tl
2 1 1
direct
0.000 0.500 0.000
0.500 0.000 0.000
0.000 0.000 0.500
0.500 0.500 0.500

| no. | DFT total energy (eV per cell) | theoretical density (Mg/m³) | magnetization (μB/atom) |
| --- | --- | --- | --- |
| 1 | -54.86 | 9.67 | 0.000 |
| 2 | -66.60 | 7.92 | 0.000 |
| 3 | -84.69 | 8.09 | 0.000 |
| 4 | -17.10 | 9.53 | 0.206 |